Entry 1:
# CoHgSeO

A relaxed CoHgSeO crystal (PBE+U, the Open Quantum Materials Database). Values from VASP.

Crystal system: monoclinic

Geometry as Quantum ESPRESSO input:
```
&SYSTEM
  ibrav = 0, nat = 16, ntyp = 4
/
ATOMIC_SPECIES
Co 58.93 Co.upf
Hg 200.59 Hg.upf
O 16.00 O.upf
Se 78.96 Se.upf
CELL_PARAMETERS angstrom
-0.3821 4.5802 -3.0760
-5.4161 -0.9185 -0.6948
-2.1948 5.5414 9.7827
ATOMIC_POSITIONS angstrom
Co -2.2957 2.2187 -1.4993
Co -5.0948 3.9949 -3.2838
Co -4.0327 5.0159 9.1500
Co -7.0301 6.7584 7.3401
Hg -2.0328 1.7058 1.8720
Hg -4.1712 4.9283 1.5587
Hg -1.6973 4.6351 4.7257
Hg -6.1288 7.4688 4.1181
O -3.4155 0.6071 -1.1884
O -0.8730 1.3389 -0.2976
O -5.7210 8.1015 6.4889
O -3.0836 8.8494 7.3918
Se -3.8843 4.2376 -0.8769
Se -1.2132 4.0430 2.3160
Se -4.5127 5.5446 3.9866
Se -2.2573 5.2795 7.1262
```

Entry 2:
# CoHgSeO

A relaxed CoHgSeO crystal (PBE+U, the Open Quantum Materials Database). Values from VASP.

Crystal system: tetragonal

Geometry as Quantum ESPRESSO input:
```
&SYSTEM
  ibrav = 0, nat = 8, ntyp = 4
/
ATOMIC_SPECIES
Co 58.93 Co.upf
Hg 200.59 Hg.upf
O 16.00 O.upf
Se 78.96 Se.upf
CELL_PARAMETERS angstrom
-1.7063 -3.6222 0.6505
2.9468 -0.9152 2.6333
-4.5160 3.2370 6.1788
ATOMIC_POSITIONS angstrom
Co -1.1142 0.7986 1.5244
Co -2.7816 0.1696 6.2962
Hg -0.8532 -1.8111 0.3253
Hg 1.4734 -0.4576 1.3166
O -2.1550 1.5447 2.9485
O -1.7407 -0.5764 4.8722
Se -0.8156 -1.2395 3.6064
Se -3.0801 2.2078 4.2142
```

Entry 3:
# CoHgSeO

A relaxed CoHgSeO crystal (PBE+U, the Open Quantum Materials Database). Values from VASP.

Crystal system: tetragonal

Geometry as Quantum ESPRESSO input:
```
&SYSTEM
  ibrav = 0, nat = 8, ntyp = 4
/
ATOMIC_SPECIES
Co 58.93 Co.upf
Hg 200.59 Hg.upf
O 16.00 O.upf
Se 78.96 Se.upf
CELL_PARAMETERS angstrom
-1.0630 4.1323 0.1747
-3.8724 -0.9310 -1.5407
-2.7708 -1.0335 7.5885
ATOMIC_POSITIONS angstrom
Co -2.1610 0.4545 2.1977
Co -5.5452 1.7133 4.0247
Hg -4.1235 2.2436 0.1311
Hg -3.5827 -0.0758 6.0914
O -1.5613 0.6782 0.5554
O -6.1449 1.4896 5.6671
Se -3.1507 2.3497 3.5401
Se -4.5555 -0.1819 2.6824
```

Entry 4:
# CoHgSeO

A relaxed CoHgSeO crystal (PBE+U, the Open Quantum Materials Database). Values from VASP.

Crystal system: orthorhombic

Geometry as Quantum ESPRESSO input:
```
&SYSTEM
  ibrav = 0, nat = 16, ntyp = 4
/
ATOMIC_SPECIES
Co 58.93 Co.upf
Hg 200.59 Hg.upf
O 16.00 O.upf
Se 78.96 Se.upf
CELL_PARAMETERS angstrom
-1.6584 -4.6695 3.5710
8.2637 -2.4694 0.6087
0.6403 3.2698 4.5730
ATOMIC_POSITIONS angstrom
Co 0.6879 0.8656 2.6364
Co 6.9833 -3.5982 4.9467
Co 0.5551 1.2251 5.8982
Co 6.8505 -3.2387 8.2086
Hg 1.1986 -5.0986 3.9394
Hg 4.7880 -3.5887 2.3572
Hg 2.2218 -1.4841 4.7120
Hg 5.8112 0.0258 3.1298
O 0.4954 -0.2041 0.9696
O 6.7829 -4.6655 3.2793
O 0.3059 -0.0043 4.3536
O 6.5933 -4.4657 6.6633
Se 1.9956 -2.9612 2.3823
Se 5.5054 -1.4275 0.7943
Se 1.5196 -3.5680 6.3832
Se 5.0293 -2.0342 4.7951
```

Entry 5:
# CoHgSeO

A relaxed CoHgSeO crystal (PBE+U, the Open Quantum Materials Database). Values from VASP.

Crystal system: orthorhombic

Geometry as Quantum ESPRESSO input:
```
&SYSTEM
  ibrav = 0, nat = 16, ntyp = 4
/
ATOMIC_SPECIES
Co 58.93 Co.upf
Hg 200.59 Hg.upf
O 16.00 O.upf
Se 78.96 Se.upf
CELL_PARAMETERS angstrom
-4.1924 4.6645 0.6778
-4.5762 -3.9399 -1.1919
-0.5657 -1.5857 7.4136
ATOMIC_POSITIONS angstrom
Co -5.5980 -1.6936 0.4757
Co -4.2531 0.9371 2.5088
Co -1.5409 -1.2214 4.7842
Co -7.2767 0.2560 6.0303
Hg -2.3915 -0.6706 0.5041
Hg -7.5089 -0.1285 2.4675
Hg -4.6843 -2.0675 3.9283
Hg -4.0840 1.1445 6.8990
O -2.8324 1.5794 1.3436
O -5.1722 -0.7462 2.1217
O -8.4927 0.1876 4.5120
O -2.1715 -2.7428 5.8216
Se -4.1636 -3.5824 -0.3642
Se -6.1413 2.4351 3.2304
Se -2.8961 0.8892 4.5869
Se -5.4677 -1.4639 6.3458
```

Entry 6:
# CoHgSeO

A relaxed CoHgSeO crystal (PBE+U, the Open Quantum Materials Database). Values from VASP.

Crystal system: tetragonal

Geometry as Quantum ESPRESSO input:
```
&SYSTEM
  ibrav = 0, nat = 8, ntyp = 4
/
ATOMIC_SPECIES
Co 58.93 Co.upf
Hg 200.59 Hg.upf
O 16.00 O.upf
Se 78.96 Se.upf
CELL_PARAMETERS angstrom
4.1132 0.0000 0.0000
0.0000 4.1132 0.0000
0.0000 0.0000 9.1745
ATOMIC_POSITIONS angstrom
Co 3.0849 3.0849 0.1228
Co 1.0283 1.0283 9.0517
Hg 3.0849 1.0283 4.5872
Hg 1.0283 3.0849 4.5872
O 3.0849 1.0283 0.0000
O 1.0283 3.0849 0.0000
Se 3.0849 3.0849 2.7101
Se 1.0283 1.0283 6.4644
```

Entry 7:
# CoHgSeO

A relaxed CoHgSeO crystal (PBE+U, the Open Quantum Materials Database). Values from VASP.

Crystal system: orthorhombic

Geometry as Quantum ESPRESSO input:
```
&SYSTEM
  ibrav = 0, nat = 8, ntyp = 4
/
ATOMIC_SPECIES
Co 58.93 Co.upf
Hg 200.59 Hg.upf
O 16.00 O.upf
Se 78.96 Se.upf
CELL_PARAMETERS angstrom
-3.4545 -1.6352 -0.9570
2.8639 -2.9521 -5.2936
1.3290 -4.7927 3.3917
ATOMIC_POSITIONS angstrom
Co 0.8382 -3.5637 -5.0470
Co -0.6855 -3.7044 0.6936
Hg 0.9918 -1.3716 -1.2363
Hg 2.8079 -4.9551 -1.6692
O -1.0988 -2.1674 -0.4407
O 1.7178 -6.7821 -2.7229
Se 2.1951 -2.7904 -3.1557
Se 1.7431 -4.0358 0.6038
```

Entry 8:
# CoHgSeO

A relaxed CoHgSeO crystal (PBE+U, the Open Quantum Materials Database). Values from VASP.

Crystal system: hexagonal

Geometry as Quantum ESPRESSO input:
```
&SYSTEM
  ibrav = 0, nat = 8, ntyp = 4
/
ATOMIC_SPECIES
Co 58.93 Co.upf
Hg 200.59 Hg.upf
O 16.00 O.upf
Se 78.96 Se.upf
CELL_PARAMETERS angstrom
-0.9620 1.8764 -2.8746
-2.3823 -0.6682 2.5718
3.3674 10.8064 5.9270
ATOMIC_POSITIONS angstrom
Co -1.0303 3.0024 2.3047
Co 1.1286 9.2537 3.4520
Hg 1.6295 5.2352 2.8720
Hg -0.0277 11.8463 5.5313
O -2.2833 4.6104 1.5629
O 2.7430 8.8056 4.8299
Se -1.0101 2.4035 -0.3038
Se 0.2064 6.9579 4.4727
```

Entry 9:
# CoHgSeO

A relaxed CoHgSeO crystal (PBE+U, the Open Quantum Materials Database). Values from VASP.

Crystal system: hexagonal

Geometry as Quantum ESPRESSO input:
```
&SYSTEM
  ibrav = 0, nat = 8, ntyp = 4
/
ATOMIC_SPECIES
Co 58.93 Co.upf
Hg 200.59 Hg.upf
O 16.00 O.upf
Se 78.96 Se.upf
CELL_PARAMETERS angstrom
-2.1503 1.2551 -2.9380
2.9797 -2.3490 -0.6603
-6.9450 -9.1411 1.1781
ATOMIC_POSITIONS angstrom
Co -3.4560 -4.5489 0.5862
Co -6.9285 -9.1194 1.1753
Hg -0.5937 -3.6002 -1.1034
Hg -5.7761 -6.9695 -1.2737
O -2.3178 -3.0507 0.3932
O -5.7903 -7.6213 0.9822
Se -1.0516 -0.7510 -2.0752
Se -2.8142 -6.5228 -0.7267
```

Entry 10:
# CoHgSeO

A relaxed CoHgSeO crystal (PBE+U, the Open Quantum Materials Database). Values from VASP.

Crystal system: tetragonal

Geometry as Quantum ESPRESSO input:
```
&SYSTEM
  ibrav = 0, nat = 8, ntyp = 4
/
ATOMIC_SPECIES
Co 58.93 Co.upf
Hg 200.59 Hg.upf
O 16.00 O.upf
Se 78.96 Se.upf
CELL_PARAMETERS angstrom
-1.0251 3.5297 0.6985
-3.3603 -0.6793 -1.4983
-3.7570 -3.0305 9.8002
ATOMIC_POSITIONS angstrom
Co -1.6089 2.4775 0.1493
Co -2.7765 0.3729 -0.9491
Hg -4.8969 0.8408 3.5944
Hg -3.2454 -1.0210 5.4061
O -2.1916 -0.1709 2.6572
O -5.9507 -0.0092 6.3433
Se -1.5963 0.3093 1.1043
Se -6.5460 -0.4894 7.8962
```

Entry 11:
# CoHgSeO

A relaxed CoHgSeO crystal (PBE+U, the Open Quantum Materials Database). Values from VASP.

Crystal system: orthorhombic

Geometry as Quantum ESPRESSO input:
```
&SYSTEM
  ibrav = 0, nat = 16, ntyp = 4
/
ATOMIC_SPECIES
Co 58.93 Co.upf
Hg 200.59 Hg.upf
O 16.00 O.upf
Se 78.96 Se.upf
CELL_PARAMETERS angstrom
6.6426 0.0000 0.0000
0.0000 7.4341 0.0000
0.0000 0.0000 6.4383
ATOMIC_POSITIONS angstrom
Co 6.2737 2.5280 0.2332
Co 2.9524 4.9061 0.2332
Co 3.6902 2.5280 3.4524
Co 0.3689 4.9061 3.4524
Hg 0.6824 0.9749 2.9187
Hg 4.0037 6.4592 2.9187
Hg 2.6389 0.9749 6.1378
Hg 5.9602 6.4592 6.1378
O 0.4990 0.8920 0.6462
O 3.8203 6.5421 0.6462
O 2.8223 0.8920 3.8653
O 6.1436 6.5421 3.8653
Se 3.9651 2.8001 1.0306
Se 0.6438 4.6341 1.0306
Se 5.9988 2.8001 4.2497
Se 2.6775 4.6341 4.2497
```

Entry 12:
# CoHgSeO

A relaxed CoHgSeO crystal (PBE+U, the Open Quantum Materials Database). Values from VASP.

Crystal system: orthorhombic

Geometry as Quantum ESPRESSO input:
```
&SYSTEM
  ibrav = 0, nat = 32, ntyp = 4
/
ATOMIC_SPECIES
Co 58.93 Co.upf
Hg 200.59 Hg.upf
O 16.00 O.upf
Se 78.96 Se.upf
CELL_PARAMETERS angstrom
5.6618 0.0000 0.0000
0.0000 16.6319 0.0000
0.0000 0.0000 6.1117
ATOMIC_POSITIONS angstrom
Co 3.6771 4.5821 0.7847
Co 4.8156 12.8980 0.7847
Co 0.8462 4.5821 2.2712
Co 1.9847 12.8980 2.2712
Co 3.6771 3.7339 3.8405
Co 4.8156 12.0498 3.8405
Co 0.8462 3.7339 5.3270
Co 1.9847 12.0498 5.3270
Hg 4.7580 1.4926 1.0725
Hg 3.7346 9.8085 1.0725
Hg 1.9272 1.4926 1.9834
Hg 0.9037 9.8085 1.9834
Hg 4.7580 6.8233 4.1283
Hg 3.7346 15.1393 4.1283
Hg 1.9272 6.8233 5.0392
Hg 0.9037 15.1393 5.0392
O 1.9010 3.7559 0.8602
O 0.9299 12.0718 0.8602
O 4.7319 3.7559 2.1956
O 3.7608 12.0718 2.1956
O 1.9010 4.5601 3.9161
O 0.9299 12.8760 3.9161
O 4.7319 4.5601 5.2514
O 3.7608 12.8760 5.2514
Se 0.6255 6.9315 1.5106
Se 2.2054 15.2475 1.5106
Se 3.4564 6.9315 1.5452
Se 5.0363 15.2475 1.5452
Se 0.6255 1.3844 4.5665
Se 2.2054 9.7004 4.5665
Se 3.4564 1.3844 4.6010
Se 5.0363 9.7004 4.6010
```

Number 1: distance to the lowest polymorph of the same formula 5.1 meV/atom. Number 2: distance to the lowest polymorph of the same formula 552.7 meV/atom. Number 3: distance to the lowest polymorph of the same formula 468.5 meV/atom. Number 4: distance to the lowest polymorph of the same formula 0.0 meV/atom. Number 5: distance to the lowest polymorph of the same formula 108.4 meV/atom. Number 6: distance to the lowest polymorph of the same formula 362.4 meV/atom. Number 7: distance to the lowest polymorph of the same formula 47.6 meV/atom. Number 8: distance to the lowest polymorph of the same formula 241.9 meV/atom. Number 9: distance to the lowest polymorph of the same formula 204.6 meV/atom. Number 10: distance to the lowest polymorph of the same formula 485.5 meV/atom. Number 11: distance to the lowest polymorph of the same formula 144.2 meV/atom. Number 12: distance to the lowest polymorph of the same formula 327.5 meV/atom.